PBE with a Hubbard U V6O11, optimized geometry; space-group type = Cmcm; density = 4.04 g cm⁻³; volume = 396 Å³/cell; total energy = -7.82 eV per atom
1.0
2.888 -5.107 0.000
2.888 5.107 0.000
0.000 0.000 13.414
V O
12 22
direct
0.000 0.000 0.000
0.000 0.000 0.500
0.000 0.500 0.000
0.000 0.500 0.500
0.168 0.832 0.750
0.500 0.000 0.000
0.500 0.000 0.500
0.500 0.500 0.149
0.500 0.500 0.351
0.500 0.500 0.649
0.500 0.500 0.851
0.832 0.168 0.250
0.158 0.329 0.573
0.158 0.329 0.927
0.165 0.835 0.586
0.165 0.835 0.914
0.201 0.342 0.250
0.324 0.676 0.074
0.324 0.676 0.426
0.329 0.158 0.073
0.329 0.158 0.427
0.339 0.661 0.750
0.342 0.201 0.750
0.658 0.799 0.250
0.661 0.339 0.250
0.671 0.842 0.573
0.671 0.842 0.927
0.676 0.324 0.574
0.676 0.324 0.926
0.799 0.658 0.750
0.835 0.165 0.086
0.835 0.165 0.414
0.842 0.671 0.073
0.842 0.671 0.427